(1)
Entry from the Alexandria database: a relaxed V4Mo3W2 crystal (PBE).

Summary:
The value obtained for the energy of formation from the pure elements is 134 meV per atom. The calculation puts the calculated volume at 273.18 Å³ per cell. As for the space-group type: C2/c. The calculated density is 10.45 g/cm3.

Lattice parameters (Å, degrees): 7.627 7.627 4.778 90.04 90.04 79.37
Atoms (fractional coordinates):
V 0.160 0.518 0.499
V 0.171 0.699 0.000
V 0.301 0.829 0.500
V 0.482 0.840 0.001
V 0.518 0.160 0.999
V 0.699 0.171 0.500
V 0.829 0.301 0.000
V 0.840 0.482 0.501
Mo 0.021 0.169 0.500
Mo 0.169 0.021 0.000
Mo 0.500 0.500 0.250
Mo 0.500 0.500 0.750
Mo 0.831 0.979 0.000
Mo 0.979 0.831 0.500
W 0.178 0.361 0.999
W 0.361 0.178 0.499
W 0.639 0.822 0.501
W 0.822 0.639 0.001

***

(2)
Entry from the Alexandria database: a relaxed AsIrPt2 crystal (PBE).

Summary:
The value obtained for the energy of formation from the pure elements is 143 meV per atom. The calculation puts the calculated volume at 63.06 Å³ per cell. As for the space-group type: R-3m. The calculated density is 17.31 g/cm3.

Lattice parameters (Å, degrees): 8.905 8.905 8.905 18.64 18.64 18.64
Atoms (fractional coordinates):
As 0.000 0.000 0.000
Ir 0.500 0.500 0.500
Pt 0.252 0.252 0.252
Pt 0.748 0.748 0.748

***

(3)
Entry from the Alexandria database: a relaxed CaLuGeAu crystal (PBE).

Summary:
The value obtained for the energy of formation from the pure elements is -743 meV per atom. The calculation puts the calculated volume at 90.85 Å³ per cell. As for the space-group type: F-43m. The calculated density is 8.86 g/cm3.

Lattice parameters (Å, degrees): 5.046 5.046 5.046 60.00 60.00 60.00
Atoms (fractional coordinates):
Ca 0.000 0.000 0.000
Lu 0.500 0.500 0.500
Ge 0.750 0.750 0.750
Au 0.250 0.250 0.250

***

Copy entry 1 word for word.
Entry from the Alexandria database: a relaxed V4Mo3W2 crystal (PBE).

Summary:
The value obtained for the energy of formation from the pure elements is 134 meV per atom. The calculation puts the calculated volume at 273.18 Å³ per cell. As for the space-group type: C2/c. The calculated density is 10.45 g/cm3.

Lattice parameters (Å, degrees): 7.627 7.627 4.778 90.04 90.04 79.37
Atoms (fractional coordinates):
V 0.160 0.518 0.499
V 0.171 0.699 0.000
V 0.301 0.829 0.500
V 0.482 0.840 0.001
V 0.518 0.160 0.999
V 0.699 0.171 0.500
V 0.829 0.301 0.000
V 0.840 0.482 0.501
Mo 0.021 0.169 0.500
Mo 0.169 0.021 0.000
Mo 0.500 0.500 0.250
Mo 0.500 0.500 0.750
Mo 0.831 0.979 0.000
Mo 0.979 0.831 0.500
W 0.178 0.361 0.999
W 0.361 0.178 0.499
W 0.639 0.822 0.501
W 0.822 0.639 0.001